# TiCoP2O8, optimized geometry, DFT PBE with a Hubbard U
# calculated total energy	-7.4693	eV/atom
# DOS(E_F)	45.9	states/eV/cell
data_TiCoP2O8
_space_group_name_H-M_alt 'R 3'
_space_group_IT_number 146
_space_group_name_Hall 'R 3'
_cell_length_a 8.5849
_cell_length_b 8.5849
_cell_length_c 20.7566
_cell_angle_alpha 90.00
_cell_angle_beta 90.00
_cell_angle_gamma 120.00
loop_
_atom_site_label
_atom_site_type_symbol
_atom_site_fract_x
_atom_site_fract_y
_atom_site_fract_z
_atom_site_occupancy
Ti1 Ti 0.0000 0.0000 0.0000 1
Ti2 Ti 0.0000 0.0000 0.2165 1
Ti3 Ti 0.0000 0.0000 0.7148 1
Co1 Co 0.0000 0.0000 0.3586 1
Co2 Co 0.0000 0.0000 0.4974 1
Co3 Co 0.0000 0.0000 0.8583 1
P1 P 0.0018 0.2880 0.6049 1
P2 P 0.0045 0.7080 0.1083 1
O1 O 0.0046 0.8129 0.1686 1
O2 O 0.0064 0.1894 0.6669 1
O3 O 0.0091 0.1973 0.5437 1
O4 O 0.0168 0.8317 0.7804 1
O5 O 0.0277 0.1908 0.2794 1
O6 O 0.1459 0.6703 0.7146 1
O7 O 0.1659 0.4834 0.6030 1
O8 O 0.1757 0.6933 0.1006 1